{
  "formula": "SnPd4",
  "functional": "PBE-GGA",
  "state": "optimized geometry",
  "lattice_angstrom": [[-1.777, -0.853, -5.079], [-2.294, -1.898, 4.562], [-1.836, 7.030, 0.663]],
  "species": ["Pd", "Pd", "Pd", "Pd", "Pd", "Pd", "Pd", "Pd", "Sn", "Sn"],
  "frac_coords": [[0.389, 0.441, 0.397], [0.115, 0.547, 0.698], [0.043, 0.992, 0.603], [0.849, 0.417, 0.302], [0.242, 0.793, 0.103], [0.667, 0.599, 0.802], [0.797, 0.865, 0.198], [0.691, 0.139, 0.897], [0.256, 0.256, 0.000], [0.506, 0.006, 0.500]],
  "spacegroup": "Fdd2",
  "magmom_total_mub_per_cell": 0.00,
  "crystal_system": "orthorhombic"
}

***

{
  "formula": "LiMgAu2",
  "functional": "PBE-GGA",
  "state": "optimized geometry",
  "lattice_angstrom": [[5.172, -0.392, 0.345], [3.967, 3.341, 0.345], [1.275, 0.412, 3.690]],
  "species": ["Mg", "Au", "Au", "Li"],
  "frac_coords": [[0.250, 0.250, 0.250], [0.000, 0.000, 0.000], [0.750, 0.750, 0.750], [0.500, 0.500, 0.500]],
  "spacegroup": "I-4m2",
  "magmom_total_mub_per_cell": 0.00,
  "crystal_system": "tetragonal"
}

***

Energy of formation from the pure elements
In order: -0.36, -0.55
Unit: eV/atom